(1)
VASP calculation (PBE) on crystalline Ba8AlAg2 at its relaxed geometry.

The structure belongs to space group Cm (No. 8); the cell edges are 10.283, 15.259 and 7.333 Å and the angles 90.00°, 108.13° and 90.00°. The asymmetric unit holds Ba at (0.000, 0.000, 0.000), Ba at (0.058, 0.370, 0.778), Ba at (0.144, 0.134, 0.565), Ba at (0.204, 0.500, 0.376), Ba at (0.344, 0.212, 0.181), Al at (0.354, 0.000, 0.389) and Ag at (0.354, 0.314, 0.685).

For the formation energy, the calculation gives -0.04 eV/atom. The density comes out at 4.07 g/cm³. As for the energy: -2.300 eV/atom.

(2)
VASP calculation (PBE) on crystalline BaAl2Ag6 at its relaxed geometry.

The structure belongs to space group Fd-3m (No. 227, origin choice 2); the cell edges are 12.285, 12.285 and 12.285 Å and the angles 90.00°, 90.00° and 90.00°. The asymmetric unit holds Ba at (0.125, 0.125, 0.125), Al at (0.000, 0.000, 0.500) and Ag at (0.108, 0.375, 0.875).

For the formation energy, the calculation gives 0.18 eV/atom. The density comes out at 6.01 g/cm³. As for the energy: -2.763 eV/atom.

(3)
VASP calculation (PBE) on crystalline BaAl4Ag at its relaxed geometry.

The structure belongs to space group F-43m (No. 216); the cell edges are 8.163, 8.163 and 8.163 Å and the angles 90.00°, 90.00° and 90.00°. The asymmetric unit holds Ba at (0.000, 0.000, 0.000), Al at (0.126, 0.126, 0.374) and Ag at (0.250, 0.250, 0.750).

For the formation energy, the calculation gives 0.08 eV/atom. The density comes out at 4.31 g/cm³. As for the energy: -3.211 eV/atom.

(4)
VASP calculation (PBE) on crystalline BaAl2Ag5 at its relaxed geometry.

The structure belongs to space group Immm (No. 71); the cell edges are 4.411, 7.483 and 10.782 Å and the angles 90.00°, 90.00° and 90.00°. The asymmetric unit holds Ba at (0.000, 0.000, 0.000), Al at (0.000, 0.500, 0.241), Ag at (0.000, 0.188, 0.351) and Ag at (0.000, 0.500, 0.000).

For the formation energy, the calculation gives -0.12 eV/atom. The density comes out at 6.82 g/cm³. As for the energy: -3.077 eV/atom.

(5)
VASP calculation (PBE) on crystalline BaAlAg3 at its relaxed geometry.

The structure belongs to space group Cmcm (No. 63); the cell edges are 6.703, 12.847 and 5.534 Å and the angles 90.00°, 90.00° and 90.00°. The asymmetric unit holds Ba at (0.000, 0.110, 0.250), Al at (0.000, 0.500, 0.000), Ag at (0.000, 0.312, 0.750) and Ag at (0.218, 0.355, 0.250).

For the formation energy, the calculation gives -0.18 eV/atom. The density comes out at 6.80 g/cm³. For the excess energy over the best structure of this formula in the dataset, the calculation gives 0 kJ/mol of formula units. As for the energy: -3.020 eV/atom.

(6)
VASP calculation (PBE) on crystalline BaAlAg2 at its relaxed geometry.

The structure belongs to space group I-4m2 (No. 119); the cell edges are 5.003, 5.003 and 8.252 Å and the angles 90.00°, 90.00° and 90.00°. The asymmetric unit holds Ba at (0.000, 0.000, 0.000), Al at (0.000, 0.500, 0.250), Ag at (0.000, 0.000, 0.500) and Ag at (0.000, 0.500, 0.750).

For the formation energy, the calculation gives 0.11 eV/atom. The density comes out at 6.11 g/cm³. As for the energy: -2.736 eV/atom.

(7)
VASP calculation (PBE) on crystalline Ba3Al2Ag4 at its relaxed geometry.

The structure belongs to space group C2/m (No. 12); the cell edges are 12.433, 4.854 and 9.555 Å and the angles 90.00°, 111.00° and 90.00°. The asymmetric unit holds Ba at (0.000, 0.000, 0.000), Ba at (0.124, 0.500, 0.688), Al at (0.169, 0.500, 0.331), Ag at (0.131, 0.000, 0.418) and Ag at (0.222, 0.500, 0.075).

For the formation energy, the calculation gives -0.23 eV/atom. The density comes out at 5.54 g/cm³. As for the energy: -2.967 eV/atom.

(8)
VASP calculation (PBE) on crystalline BaAlAg3 at its relaxed geometry.

The structure belongs to space group Pm-3m (No. 221); the cell edges are 5.108, 5.108 and 5.108 Å and the angles 90.00°, 90.00° and 90.00°. The asymmetric unit holds Ba at (0.000, 0.000, 0.000), Al at (0.500, 0.500, 0.500) and Ag at (0.000, 0.500, 0.500).

For the formation energy, the calculation gives -0.12 eV/atom. The density comes out at 6.08 g/cm³. For the excess energy over the best structure of this formula in the dataset, the calculation gives 28 kJ/mol of formula units. As for the energy: -2.961 eV/atom.